# 1
Density functional theory data (PBE) for NdSm2Se3 after structural relaxation.

**Magnetic moment**: 0.008 μB/cell
**Space group**: P-3m1

```
data_NdSm2Se3
_chemical_formula_sum 'Nd1 Sm2 Se3'
_cell_length_a 4.181
_cell_length_b 4.181
_cell_length_c 10.270
_cell_angle_alpha 90.00
_cell_angle_beta 90.00
_cell_angle_gamma 120.00
_space_group_name_H-M_alt 'P 1'
_space_group_IT_number 1
_space_group_name_Hall 'P 1'
loop_
_atom_site_label
_atom_site_type_symbol
_atom_site_fract_x
_atom_site_fract_y
_atom_site_fract_z
Nd1 Nd 0.000 0.000 0.500
Se1 Se 0.000 0.000 0.000
Se2 Se 0.667 0.333 0.329
Se3 Se 0.333 0.667 0.671
Sm1 Sm 0.333 0.667 0.165
Sm2 Sm 0.667 0.333 0.835
```

# 2
Density functional theory data (PBE) for NdTlSnSe3 after structural relaxation.

**Magnetic moment**: 0.002 μB/cell
**Space group**: Cmcm

```
data_NdTlSnSe3
_chemical_formula_sum 'Nd2 Tl2 Sn2 Se6'
_cell_length_a 8.053
_cell_length_b 8.053
_cell_length_c 11.847
_cell_angle_alpha 90.00
_cell_angle_beta 90.00
_cell_angle_gamma 149.36
_space_group_name_H-M_alt 'P 1'
_space_group_IT_number 1
_space_group_name_Hall 'P 1'
loop_
_atom_site_label
_atom_site_type_symbol
_atom_site_fract_x
_atom_site_fract_y
_atom_site_fract_z
Nd1 Nd 0.000 0.000 0.000
Nd2 Nd 0.000 0.000 0.500
Se1 Se 0.369 0.631 0.003
Se2 Se 0.993 0.007 0.250
Se3 Se 0.369 0.631 0.497
Se4 Se 0.631 0.369 0.503
Se5 Se 0.007 0.993 0.750
Se6 Se 0.631 0.369 0.997
Sn1 Sn 0.373 0.627 0.250
Sn2 Sn 0.627 0.373 0.750
Tl1 Tl 0.691 0.310 0.250
Tl2 Tl 0.310 0.691 0.750
```

Record-wise electronic total energy values, in eV/atom: -5.934, -4.524